1.
A plane-wave DFT calculation with GGA-PBE was carried out for an optimized crystal structure of PmAl2GaPt4.

Energy of formation from the pure elements: -0.973 eV per atom
Fermi-level density of states: 7.412 states/eV per cell

Geometry as CIF:
```
data_PmAl2GaPt4
_cell_length_a 4.3071
_cell_length_b 4.3071
_cell_length_c 26.3644
_cell_angle_alpha 90.00
_cell_angle_beta 90.00
_cell_angle_gamma 120.00
_symmetry_space_group_name_H-M 'R -3 m'
_symmetry_Int_Tables_number 166
_symmetry_space_group_name_Hall '-R 3 2"'
loop_
_atom_site_label
_atom_site_type_symbol
_atom_site_fract_x
_atom_site_fract_y
_atom_site_fract_z
Pm1 Pm 0.0000 0.0000 0.0000
Al1 Al 0.0000 0.0000 0.2425
Ga1 Ga 0.0000 0.0000 0.5000
Pt1 Pt 0.0000 0.0000 0.1347
Pt2 Pt 0.0000 0.0000 0.4037
```

2.
A plane-wave DFT calculation with GGA-PBE was carried out for an optimized crystal structure of TlReRh2N.

VASP energy: -21.40 eV for the cell shown
Fermi-level density of states: 7.274 states/eV per cell

Geometry as CIF:
```
data_TlReRh2N
_cell_length_a 5.091
_cell_length_b 5.091
_cell_length_c 5.240
_cell_angle_alpha 90.00
_cell_angle_beta 90.00
_cell_angle_gamma 90.00
_symmetry_space_group_name_H-M 'P 4/m m m'
_symmetry_Int_Tables_number 123
_symmetry_space_group_name_Hall '-P 4 2'
loop_
_atom_site_label
_atom_site_type_symbol
_atom_site_fract_x
_atom_site_fract_y
_atom_site_fract_z
Tl1 Tl 0.000 0.000 0.000
Re1 Re 0.000 0.000 0.500
Rh1 Rh 0.000 0.500 0.000
N1 N 0.500 0.500 0.500
```

3.
A plane-wave DFT calculation with GGA-PBE was carried out for an optimized crystal structure of ThTl2.

Energy of formation from the pure elements: -0.050 eV per atom
Fermi-level density of states: 9.908 states/eV per cell

Geometry as CIF:
```
data_ThTl2
_cell_length_a 4.949
_cell_length_b 15.288
_cell_length_c 4.614
_cell_angle_alpha 90.00
_cell_angle_beta 90.00
_cell_angle_gamma 90.00
_symmetry_space_group_name_H-M 'C m c m'
_symmetry_Int_Tables_number 63
_symmetry_space_group_name_Hall '-C 2c 2'
loop_
_atom_site_label
_atom_site_type_symbol
_atom_site_fract_x
_atom_site_fract_y
_atom_site_fract_z
Th1 Th 0.000 0.091 0.250
Tl1 Tl 0.000 0.255 0.750
Tl2 Tl 0.000 0.425 0.250
```

4.
A plane-wave DFT calculation with GGA-PBE was carried out for an optimized crystal structure of AsOsPb2.

Energy of formation from the pure elements: 0.195 eV per atom
Fermi-level density of states: 3.790 states/eV per cell

Geometry as CIF:
```
data_AsOsPb2
_cell_length_a 7.189
_cell_length_b 4.164
_cell_length_c 7.365
_cell_angle_alpha 90.00
_cell_angle_beta 109.06
_cell_angle_gamma 90.00
_symmetry_space_group_name_H-M 'C 1 m 1'
_symmetry_Int_Tables_number 8
loop_
_symmetry_equiv_pos_as_xyz
'x,y,z'
'x,-y,z'
'x+1/2,y+1/2,z'
'x+1/2,-y+1/2,z'
loop_
_atom_site_label
_atom_site_type_symbol
_atom_site_fract_x
_atom_site_fract_y
_atom_site_fract_z
As1 As 0.000 0.000 0.000
Os1 Os 0.165 0.500 0.997
Pb1 Pb 0.235 0.000 0.708
Pb2 Pb 0.431 0.000 0.291
```